[1]
# Be9NbRh2 | Alexandria via LeMat-Bulk | PBE-GGA | relaxed
data_Be9NbRh2
_chemical_formula_sum 'Be27 Nb3 Rh6'
_space_group_name_H-M_alt 'R -3 m'
_space_group_IT_number 166
_space_group_name_Hall '-R 3 2"'
_cell_length_a 4.3801
_cell_length_b 4.3801
_cell_length_c 20.7480
_cell_angle_alpha 90.00
_cell_angle_beta 90.00
_cell_angle_gamma 120.00
loop_
_atom_site_label
_atom_site_fract_x
_atom_site_fract_y
_atom_site_fract_z
Be1 0.0000 0.0000 0.0000
Be2 0.0000 0.0000 0.1671
Be3 0.0040 0.5020 0.4150
Nb1 0.0000 0.0000 0.5000
Rh1 0.0000 0.0000 0.3621
# Magnetization: 0.00 Bohr magnetons per cell
# E_form: -354 meV/atom

=====

[2]
# BaLaTm2 | Alexandria via LeMat-Bulk | PBE-GGA | relaxed
data_BaLaTm2
_chemical_formula_sum 'Ba1 La1 Tm2'
_space_group_name_H-M_alt 'P 4/m m m'
_space_group_IT_number 123
_space_group_name_Hall '-P 4 2'
_cell_length_a 3.7639
_cell_length_b 3.7639
_cell_length_c 10.6088
_cell_angle_alpha 90.00
_cell_angle_beta 90.00
_cell_angle_gamma 90.00
loop_
_atom_site_label
_atom_site_fract_x
_atom_site_fract_y
_atom_site_fract_z
Ba1 0.0000 0.0000 0.0000
La1 0.0000 0.0000 0.5000
Tm1 0.5000 0.5000 0.2776
# Magnetization: 0.00 Bohr magnetons per cell
# E_form: 178 meV/atom
# Energy above the most stable polymorph in this dataset: 0 meV/atom

=====

[3]
# SrLi2Ru | Alexandria via LeMat-Bulk | PBE-GGA | relaxed
data_SrLi2Ru
_chemical_formula_sum 'Sr2 Li4 Ru2'
_space_group_name_H-M_alt 'C 1 m 1'
_space_group_IT_number 8
_cell_length_a 7.6380
_cell_length_b 4.3965
_cell_length_c 5.7687
_cell_angle_alpha 90.00
_cell_angle_beta 115.96
_cell_angle_gamma 90.00
loop_
_space_group_symop_operation_xyz
'x,y,z'
'x,-y,z'
'x+1/2,y+1/2,z'
'x+1/2,-y+1/2,z'
loop_
_atom_site_label
_atom_site_fract_x
_atom_site_fract_y
_atom_site_fract_z
Sr1 0.0000 0.0000 0.0000
Li1 0.0076 0.5000 0.5224
Li2 0.3070 0.5000 0.4196
Ru1 0.2036 0.0000 0.6103
# Magnetization: 0.42 Bohr magnetons per cell
# E_form: 365 meV/atom
# Energy above the most stable polymorph in this dataset: 0 meV/atom

=====

[4]
# AsP2Os | Alexandria via LeMat-Bulk | PBE-GGA | relaxed
data_AsP2Os
_chemical_formula_sum 'As2 P4 Os2'
_space_group_name_H-M_alt 'C 1 2/m 1'
_space_group_IT_number 12
_cell_length_a 7.0152
_cell_length_b 2.8887
_cell_length_c 7.7854
_cell_angle_alpha 90.00
_cell_angle_beta 108.72
_cell_angle_gamma 90.00
loop_
_space_group_symop_operation_xyz
'x,y,z'
'-x,-y,-z'
'-x,y,-z'
'x,-y,z'
'x+1/2,y+1/2,z'
'-x+1/2,-y+1/2,-z'
'-x+1/2,y+1/2,-z'
'x+1/2,-y+1/2,z'
loop_
_atom_site_label
_atom_site_fract_x
_atom_site_fract_y
_atom_site_fract_z
As1 0.0000 0.0000 0.0000
P1 0.1487 0.0000 0.3346
Os1 0.0000 0.5000 0.5000
# Magnetization: 0.00 Bohr magnetons per cell
# E_form: 117 meV/atom

=====

[5]
# TaSi2Os | Alexandria via LeMat-Bulk | PBE-GGA | relaxed
data_TaSi2Os
_chemical_formula_sum 'Ta2 Si4 Os2'
_space_group_name_H-M_alt 'C m m m'
_space_group_IT_number 65
_space_group_name_Hall '-C 2 2'
_cell_length_a 3.9648
_cell_length_b 4.3850
_cell_length_c 6.5899
_cell_angle_alpha 90.00
_cell_angle_beta 90.00
_cell_angle_gamma 90.00
loop_
_atom_site_label
_atom_site_fract_x
_atom_site_fract_y
_atom_site_fract_z
Ta1 0.0000 0.0000 0.0000
Si1 0.0000 0.5000 0.2757
Os1 0.0000 0.0000 0.5000
# Formation energy from raw total energies: -253 meV per atom
# Magnetization: 0.00 Bohr magnetons per cell

=====

[6]
# Nd2Ho3Er | Alexandria via LeMat-Bulk | PBE-GGA | relaxed
data_Nd2Ho3Er
_chemical_formula_sum 'Nd8 Ho12 Er4'
_space_group_name_H-M_alt 'C 1 2/m 1'
_space_group_IT_number 12
_cell_length_a 17.0214
_cell_length_b 3.5770
_cell_length_c 13.0865
_cell_angle_alpha 90.00
_cell_angle_beta 100.96
_cell_angle_gamma 90.00
loop_
_space_group_symop_operation_xyz
'x,y,z'
'-x,-y,-z'
'-x,y,-z'
'x,-y,z'
'x+1/2,y+1/2,z'
'-x+1/2,-y+1/2,-z'
'-x+1/2,y+1/2,-z'
'x+1/2,-y+1/2,z'
loop_
_atom_site_label
_atom_site_fract_x
_atom_site_fract_y
_atom_site_fract_z
Nd1 0.2359 0.0000 0.3767
Nd2 0.2362 0.5000 0.8766
Ho1 0.0774 0.0000 0.6931
Ho2 0.0820 0.0000 0.9600
Ho3 0.0821 0.5000 0.4598
Er1 0.0776 0.5000 0.1927
# Magnetization: 0.00 Bohr magnetons per cell
# E_form: 40 meV/atom
# Energy above the most stable polymorph in this dataset: 0 meV/atom

=====

[7]
# AcNd4Tm2 | Alexandria via LeMat-Bulk | PBE-GGA | relaxed
data_AcNd4Tm2
_chemical_formula_sum 'Ac2 Nd8 Tm4'
_space_group_name_H-M_alt 'C 1 2/m 1'
_space_group_IT_number 12
_cell_length_a 12.1773
_cell_length_b 6.5342
_cell_length_c 6.4139
_cell_angle_alpha 90.00
_cell_angle_beta 98.97
_cell_angle_gamma 90.00
loop_
_space_group_symop_operation_xyz
'x,y,z'
'-x,-y,-z'
'-x,y,-z'
'x,-y,z'
'x+1/2,y+1/2,z'
'-x+1/2,-y+1/2,-z'
'-x+1/2,y+1/2,-z'
'x+1/2,-y+1/2,z'
loop_
_atom_site_label
_atom_site_fract_x
_atom_site_fract_y
_atom_site_fract_z
Ac1 0.0000 0.0000 0.0000
Nd1 0.1616 0.0000 0.5080
Nd2 0.2500 0.2500 0.0000
Tm1 0.0400 0.5000 0.2644
# Magnetization: 0.00 Bohr magnetons per cell
# E_form: 243 meV/atom

=====

[8]
# RbLa3Cu | Alexandria via LeMat-Bulk | PBE-GGA | relaxed
data_RbLa3Cu
_chemical_formula_sum 'Rb1 La3 Cu1'
_space_group_name_H-M_alt 'P m -3 m'
_space_group_IT_number 221
_space_group_name_Hall '-P 4 2 3'
_cell_length_a 5.8810
_cell_length_b 5.8810
_cell_length_c 5.8810
_cell_angle_alpha 90.00
_cell_angle_beta 90.00
_cell_angle_gamma 90.00
loop_
_atom_site_label
_atom_site_fract_x
_atom_site_fract_y
_atom_site_fract_z
Rb1 0.0000 0.0000 0.0000
La1 0.0000 0.5000 0.5000
Cu1 0.5000 0.5000 0.5000
# Magnetization: 1.48 Bohr magnetons per cell
# E_form: 319 meV/atom
# Energy above the most stable polymorph in this dataset: 0 meV/atom

=====

[9]
# TbHgBi2 | Alexandria via LeMat-Bulk | PBE-GGA | relaxed
data_TbHgBi2
_chemical_formula_sum 'Tb1 Hg1 Bi2'
_space_group_name_H-M_alt 'P 4/m m m'
_space_group_IT_number 123
_space_group_name_Hall '-P 4 2'
_cell_length_a 4.8321
_cell_length_b 4.8321
_cell_length_c 4.8573
_cell_angle_alpha 90.00
_cell_angle_beta 90.00
_cell_angle_gamma 90.00
loop_
_atom_site_label
_atom_site_fract_x
_atom_site_fract_y
_atom_site_fract_z
Tb1 0.0000 0.0000 0.0000
Hg1 0.5000 0.5000 0.0000
Bi1 0.0000 0.5000 0.5000
# Magnetization: 0.00 Bohr magnetons per cell
# E_form: -384 meV/atom
# Energy above the most stable polymorph in this dataset: 0 meV/atom

=====

[10]
# LaFeNi8Ge4 | Alexandria via LeMat-Bulk | PBE-GGA | relaxed
data_LaFeNi8Ge4
_chemical_formula_sum 'La8 Fe8 Ni64 Ge32'
_space_group_name_H-M_alt 'F m m 2'
_space_group_IT_number 42
_space_group_name_Hall 'F 2 -2'
_cell_length_a 11.2844
_cell_length_b 11.3654
_cell_length_c 11.8357
_cell_angle_alpha 90.00
_cell_angle_beta 90.00
_cell_angle_gamma 90.00
loop_
_atom_site_label
_atom_site_fract_x
_atom_site_fract_y
_atom_site_fract_z
La1 0.2500 0.2500 0.0000
Fe1 0.1187 0.0000 0.4293
Ni1 0.0000 0.0000 0.2499
Ni2 0.0000 0.0000 0.7526
Ni3 0.0000 0.1218 0.9334
Ni4 0.0000 0.1228 0.5720
Ni5 0.1141 0.1824 0.7518
Ni6 0.1261 0.0000 0.0707
Ni7 0.1812 0.1140 0.2531
Ge1 0.0000 0.1737 0.1291
Ge2 0.0000 0.1770 0.3745
Ge3 0.1733 0.0000 0.6308
Ge4 0.1740 0.0000 0.8734
# Magnetization: 15.98 Bohr magnetons per cell
# E_form: -384 meV/atom

=====

[11]
# AcSiH | Alexandria via LeMat-Bulk | PBE-GGA | relaxed
data_AcSiH
_chemical_formula_sum 'Ac6 Si6 H6'
_space_group_name_H-M_alt 'R -3 m'
_space_group_IT_number 166
_space_group_name_Hall '-R 3 2"'
_cell_length_a 4.1928
_cell_length_b 4.1928
_cell_length_c 24.1123
_cell_angle_alpha 90.00
_cell_angle_beta 90.00
_cell_angle_gamma 120.00
loop_
_atom_site_label
_atom_site_fract_x
_atom_site_fract_y
_atom_site_fract_z
Ac1 0.0000 0.0000 0.0933
Si1 0.0000 0.0000 0.3382
H1 0.0000 0.0000 0.1993
# Magnetization: 0.00 Bohr magnetons per cell
# Energy above the most stable polymorph in this dataset: 94 meV/atom

=====

[12]
# LiLaY2 | Alexandria via LeMat-Bulk | PBE-GGA | relaxed
data_LiLaY2
_chemical_formula_sum 'Li2 La2 Y4'
_space_group_name_H-M_alt 'C m m 2'
_space_group_IT_number 35
_cell_length_a 3.8723
_cell_length_b 5.7390
_cell_length_c 11.3933
_cell_angle_alpha 90.00
_cell_angle_beta 90.00
_cell_angle_gamma 90.00
loop_
_space_group_symop_operation_xyz
'x,y,z'
'-x,-y,z'
'-x,y,z'
'x,-y,z'
'x+1/2,y+1/2,z'
'-x+1/2,-y+1/2,z'
'-x+1/2,y+1/2,z'
'x+1/2,-y+1/2,z'
loop_
_atom_site_label
_atom_site_fract_x
_atom_site_fract_y
_atom_site_fract_z
Li1 0.0000 0.0000 0.0000
La1 0.0000 0.5000 0.7508
Y1 0.0000 0.0000 0.4849
Y2 0.0000 0.5000 0.2358
# Magnetization: 0.01 Bohr magnetons per cell
# E_form: 135 meV/atom
# Energy above the most stable polymorph in this dataset: 64 meV/atom

=====

[13]
# CsTbCoI6 | Alexandria via LeMat-Bulk | PBE-GGA | relaxed
data_CsTbCoI6
_chemical_formula_sum 'Cs2 Tb2 Co2 I12'
_space_group_name_H-M_alt 'C 1 2 1'
_space_group_IT_number 5
_cell_length_a 7.6307
_cell_length_b 13.2588
_cell_length_c 8.7353
_cell_angle_alpha 90.00
_cell_angle_beta 90.28
_cell_angle_gamma 90.00
loop_
_space_group_symop_operation_xyz
'x,y,z'
'-x,y,-z'
'x+1/2,y+1/2,z'
'-x+1/2,y+1/2,-z'
loop_
_atom_site_label
_atom_site_fract_x
_atom_site_fract_y
_atom_site_fract_z
Cs1 0.0000 0.0000 0.0000
Tb1 0.0000 0.6666 0.5000
Co1 0.0000 0.3327 0.5000
I1 0.1236 0.4894 0.6944
I2 0.1688 0.1907 0.6908
I3 0.2017 0.8202 0.6918
# Formation energy from raw total energies: -933 meV per atom
# Magnetization: 6.03 Bohr magnetons per cell